Record 1
DFT (PBE) results for crystalline KAc2Ho at its relaxed geometry.

## Properties
volume = 181 Å³ per cell
total moment = 0.0 μB/cell
SG = R-3m, No. 166
formation energy from the elements = 0.68 eV/f.u.

Cell lengths 14.0787, 14.0787, 14.0787 Å; angles 15.82, 15.82, 15.82 degrees
Closest atoms and distances in Å follow each position.
Fractional coordinates of all 4 atoms:
K: 0.0000 0.0000 0.0000  6 K 3.88, 2 Ac 4.01
Ac: 0.0962 0.0962 0.0962  3 Ho 3.69, 6 Ac 3.88, 1 K 4.01
Ac: 0.9038 0.9038 0.9038  3 Ho 3.69, 6 Ac 3.88, 1 K 4.01
Ho: 0.5000 0.5000 0.5000  6 Ac 3.69, 6 Ho 3.88

Record 2
DFT (PBE) results for crystalline K4Ac3HoO8 at its relaxed geometry.

## Properties
volume = 312 Å³ per cell
total moment = 0.0 μB/cell
SG = R-3m, No. 166
E_form (uncorrected) = -2588 meV/atom

Cell lengths 7.6907, 7.6907, 7.6907 Å; angles 58.67, 58.67, 58.67 degrees
Closest atoms and distances in Å follow each position.
Fractional coordinates of all 16 atoms:
K: 0.0000 0.0000 0.0000  6 O 3.03
K: 0.0000 0.5000 0.5000  6 O 2.89-2.90
K: 0.5000 0.0000 0.5000  6 O 2.89-2.90
K: 0.5000 0.5000 0.0000  6 O 2.89-2.90
Ac: 0.0000 0.0000 0.5000  6 O 2.51-2.55
Ac: 0.0000 0.5000 0.0000  6 O 2.51-2.55
Ac: 0.5000 0.0000 0.0000  6 O 2.51-2.55
Ho: 0.5000 0.5000 0.5000  6 O 2.37
O: 0.2326 0.2326 0.2326  3 Ac 2.51
O: 0.2499 0.7200 0.7200  1 Ho 2.37, 2 Ac 2.55
O: 0.2800 0.2800 0.7501  1 Ho 2.37, 2 Ac 2.55
O: 0.2800 0.7501 0.2800  1 Ho 2.37, 2 Ac 2.55
O: 0.7200 0.2499 0.7200  1 Ho 2.37, 2 Ac 2.55
O: 0.7200 0.7200 0.2499  1 Ho 2.37, 2 Ac 2.55
O: 0.7501 0.2800 0.2800  1 Ho 2.37, 2 Ac 2.55
O: 0.7674 0.7674 0.7674  3 Ac 2.51

Record 3
DFT (PBE) results for crystalline K4AcHo3O8 at its relaxed geometry.

## Properties
volume = 277 Å³ per cell
total moment = 0.0 μB/cell
SG = R-3m, No. 166
E_form (uncorrected) = -2693 meV/atom

Cell lengths 7.5112, 7.5112, 7.5112 Å; angles 56.75, 56.75, 56.75 degrees
Closest atoms and distances in Å follow each position.
Fractional coordinates of all 16 atoms:
K: 0.0000 0.0000 0.0000  6 O 2.76
K: 0.0000 0.5000 0.5000  6 O 2.85-2.90
K: 0.5000 0.0000 0.5000  6 O 2.85-2.90
K: 0.5000 0.5000 0.0000  6 O 2.85-2.90
Ac: 0.5000 0.5000 0.5000  6 O 2.48
Ho: 0.0000 0.0000 0.5000  6 O 2.32-2.37
Ho: 0.0000 0.5000 0.0000  6 O 2.32-2.37
Ho: 0.5000 0.0000 0.0000  6 O 2.32-2.37
O: 0.2087 0.7390 0.7390  2 Ho 2.32, 1 Ac 2.48
O: 0.2288 0.2288 0.2288  3 Ho 2.37
O: 0.2610 0.2610 0.7913  2 Ho 2.32, 1 Ac 2.48
O: 0.2610 0.7913 0.2610  2 Ho 2.32, 1 Ac 2.48
O: 0.7390 0.2087 0.7390  2 Ho 2.32, 1 Ac 2.48
O: 0.7390 0.7390 0.2087  2 Ho 2.32, 1 Ac 2.48
O: 0.7712 0.7712 0.7712  3 Ho 2.37
O: 0.7913 0.2610 0.2610  2 Ho 2.32, 1 Ac 2.48

Record 4
DFT (PBE) results for crystalline K3Ac2HoO6 at its relaxed geometry.

## Properties
volume = 229 Å³ per cell
total moment = 0.0 μB/cell
SG = C2/m, No. 12
E_form (uncorrected) = -2617 meV/atom

Cell lengths 6.4665, 6.4665, 6.6800 Å; angles 99.18, 99.18, 120.08 degrees
Closest atoms and distances in Å follow each position.
Fractional coordinates of all 12 atoms:
K: 0.0000 0.0000 0.0000  6 O 2.86-3.02
K: 0.3415 0.6585 0.0000  6 O 2.81-3.09
K: 0.6585 0.3415 0.0000  6 O 2.81-3.09
Ac: 0.1670 0.8330 0.5000  6 O 2.54
Ac: 0.8330 0.1670 0.5000  6 O 2.54
Ho: 0.5000 0.5000 0.5000  6 O 2.34
O: 0.1267 0.4367 0.3086  1 Ho 2.34, 2 Ac 2.54
O: 0.2523 0.2523 0.6901  1 Ho 2.34, 2 Ac 2.54
O: 0.4367 0.1267 0.3086  1 Ho 2.34, 2 Ac 2.54
O: 0.5633 0.8733 0.6914  1 Ho 2.34, 2 Ac 2.54
O: 0.7477 0.7477 0.3099  1 Ho 2.34, 2 Ac 2.54
O: 0.8733 0.5633 0.6914  1 Ho 2.34, 2 Ac 2.54

Record 5
DFT (PBE) results for crystalline K4Ac3HoS8 at its relaxed geometry.

## Properties
volume = 483 Å³ per cell
total moment = 0.0 μB/cell
SG = R-3m, No. 166
E_form (uncorrected) = -1874 meV/atom

Cell lengths 8.9475, 8.9475, 8.9475 Å; angles 57.97, 57.97, 57.97 degrees
Closest atoms and distances in Å follow each position.
Fractional coordinates of all 16 atoms:
K: 0.0000 0.0000 0.0000  6 S 3.42
K: 0.0000 0.5000 0.5000  6 S 3.26-3.27
K: 0.5000 0.0000 0.5000  6 S 3.26-3.27
K: 0.5000 0.5000 0.0000  6 S 3.26-3.27
Ac: 0.0000 0.0000 0.5000  6 S 2.98-3.00
Ac: 0.0000 0.5000 0.0000  6 S 2.98-3.00
Ac: 0.5000 0.0000 0.0000  6 S 2.98-3.00
Ho: 0.5000 0.5000 0.5000  6 S 2.82
S: 0.2391 0.2391 0.2391  3 Ac 2.98, 3 K 3.27
S: 0.2542 0.7266 0.7266  1 Ho 2.82, 2 Ac 3.00
S: 0.2734 0.2734 0.7458  1 Ho 2.82, 2 Ac 3.00
S: 0.2734 0.7458 0.2734  1 Ho 2.82, 2 Ac 3.00
S: 0.7266 0.2542 0.7266  1 Ho 2.82, 2 Ac 3.00
S: 0.7266 0.7266 0.2542  1 Ho 2.82, 2 Ac 3.00
S: 0.7458 0.2734 0.2734  1 Ho 2.82, 2 Ac 3.00
S: 0.7609 0.7609 0.7609  3 Ac 2.98, 3 K 3.27

Record 6
DFT (PBE) results for crystalline K3Ac2HoS6 at its relaxed geometry.

## Properties
volume = 357 Å³ per cell
total moment = 0.0 μB/cell
SG = C2/m, No. 12
E_form (uncorrected) = -1878 meV/atom

Cell lengths 7.4543, 7.4543, 7.8177 Å; angles 99.16, 99.16, 120.02 degrees
Closest atoms and distances in Å follow each position.
Fractional coordinates of all 12 atoms:
K: 0.0000 0.0000 0.0000  6 S 3.24-3.42
K: 0.3343 0.6657 0.0000  6 S 3.23-3.41
K: 0.6657 0.3343 0.0000  6 S 3.23-3.41
Ac: 0.1667 0.8333 0.5000  6 S 2.99-3.00
Ac: 0.8333 0.1667 0.5000  6 S 2.99-3.00
Ho: 0.5000 0.5000 0.5000  6 S 2.79-2.80
S: 0.1171 0.4303 0.2910  1 Ho 2.80, 2 Ac 2.99-3.00
S: 0.2564 0.2564 0.7074  1 Ho 2.79, 2 Ac 2.99
S: 0.4303 0.1171 0.2910  1 Ho 2.80, 2 Ac 2.99-3.00
S: 0.5697 0.8829 0.7090  1 Ho 2.80, 2 Ac 2.99-3.00
S: 0.7436 0.7436 0.2926  1 Ho 2.79, 2 Ac 2.99
S: 0.8829 0.5697 0.7090  1 Ho 2.80, 2 Ac 2.99-3.00